[1]
# PBE Nd2Zn2CuPt5, relaxed
# ρ, g/cm3: 13.5
# Space-group type: P4/mbm
# Energy of formation, meV/atom: -689
# Final energy, Ry per atom: -0.392
data_Nd2Zn2CuPt5
_chemical_formula_sum 'Nd4 Zn4 Cu2 Pt10'
_cell_length_a 3.803
_cell_length_b 9.709
_cell_length_c 9.709
_cell_angle_alpha 90.00
_cell_angle_beta 90.00
_cell_angle_gamma 90.00
_symmetry_space_group_name_H-M 'P 1'
_symmetry_Int_Tables_number 1
_symmetry_space_group_name_Hall 'P 1'
loop_
_atom_site_label
_atom_site_fract_x
_atom_site_fract_y
_atom_site_fract_z
Pt1 0.500 0.939 0.200
Pt2 0.500 0.000 0.500
Pt3 0.500 0.300 0.561
Pt4 0.500 0.061 0.800
Pt5 0.500 0.500 0.000
Pt6 0.500 0.439 0.300
Pt7 0.500 0.200 0.061
Pt8 0.500 0.800 0.939
Pt9 0.500 0.700 0.439
Pt10 0.500 0.561 0.700
Nd1 0.000 0.823 0.677
Nd2 0.000 0.677 0.177
Nd3 0.000 0.323 0.823
Nd4 0.000 0.177 0.323
Cu1 0.000 0.000 0.000
Cu2 0.000 0.500 0.500
Zn1 0.000 0.122 0.622
Zn2 0.000 0.878 0.378
Zn3 0.000 0.622 0.878
Zn4 0.000 0.378 0.122

[2]
# PBE ErNpSn2, relaxed
# ρ, g/cm3: 9.7
# Space-group type: R-3m
# Energy of formation, meV/atom: 169
# Energy relative to the lowest polymorph listed for this composition, eV/f.u.: 1.65
# Final energy, Ry per atom: -0.456
data_ErNpSn2
_chemical_formula_sum 'Er1 Np1 Sn2'
_cell_length_a 3.284
_cell_length_b 3.284
_cell_length_c 11.933
_cell_angle_alpha 82.09
_cell_angle_beta 82.09
_cell_angle_gamma 60.00
_symmetry_space_group_name_H-M 'P 1'
_symmetry_Int_Tables_number 1
_symmetry_space_group_name_Hall 'P 1'
loop_
_atom_site_label
_atom_site_fract_x
_atom_site_fract_y
_atom_site_fract_z
Sn1 0.912 0.912 0.264
Sn2 0.088 0.088 0.736
Np1 0.500 0.500 0.500
Er1 0.000 0.000 0.000